Arrangement 1

NaH3Rh | GGA-PBE | optimized geometry

Properties
- calculated density (Mg/m³) = 4.509

Cell lengths 5.6760, 3.4873, 4.7972 Å; angles 90.00, 90.00, 90.00 degrees
Closest atoms and distances in Å follow each position.
Sites, in units of the cell vectors:
Na: 0.2500 0.0000 0.0007  10 H 2.40-2.61
Na: 0.7500 0.0000 0.9993  10 H 2.40-2.61
H: 0.0002 0.5000 0.2763  2 Rh 1.78
H: 0.9998 0.5000 0.7237  2 Rh 1.78
H: 0.2500 0.0000 0.5011  2 Rh 1.74
H: 0.4998 0.5000 0.2763  2 Rh 1.78
H: 0.5002 0.5000 0.7237  2 Rh 1.78
H: 0.7500 0.0000 0.4989  2 Rh 1.74
Rh: 0.2500 0.5000 0.5005  6 H 1.74-1.78
Rh: 0.7500 0.5000 0.4995  6 H 1.74-1.78


Arrangement 2

NaH3Rh | GGA-PBE | optimized geometry

Properties
- calculated density (Mg/m³) = 4.947

Cell lengths 6.1484, 6.1484, 4.7821 Å; angles 90.00, 90.00, 106.75 degrees
Closest atoms and distances in Å follow each position.
Sites, in units of the cell vectors:
Na: 0.1083 0.3917 0.2500  2 H 2.11
Na: 0.3917 0.1083 0.7500  2 H 2.11
Na: 0.6083 0.8917 0.2500  2 H 2.11
Na: 0.8917 0.6083 0.7500  2 H 2.11
H: 0.0555 0.9445 0.8763  1 H 1.61, 2 Rh 1.72-1.78
H: 0.1402 0.3598 0.7500  2 Rh 1.84
H: 0.2379 0.7621 0.4950  2 Rh 1.78-1.87
H: 0.2621 0.7379 0.9950  2 Rh 1.78-1.87
H: 0.3598 0.1402 0.2500  2 Rh 1.84
H: 0.4445 0.5555 0.3763  1 H 1.61, 2 Rh 1.72-1.78
H: 0.5555 0.4445 0.6237  1 H 1.61, 2 Rh 1.72-1.78
H: 0.6402 0.8598 0.7500  2 Rh 1.84
H: 0.7379 0.2621 0.0050  2 Rh 1.78-1.87
H: 0.7621 0.2379 0.5050  2 Rh 1.78-1.87
H: 0.8598 0.6402 0.2500  2 Rh 1.84
H: 0.9445 0.0555 0.1237  1 H 1.61, 2 Rh 1.72-1.78
Rh: 0.1113 0.8887 0.2311  6 H 1.72-1.87
Rh: 0.3887 0.6113 0.7311  6 H 1.72-1.87
Rh: 0.6113 0.3887 0.2689  6 H 1.72-1.87
Rh: 0.8887 0.1113 0.7689  6 H 1.72-1.87


Arrangement 3

NaH3Rh | GGA-PBE | optimized geometry

Properties
- calculated density (Mg/m³) = 4.631

Cell lengths 6.8047, 6.8047, 4.8038 Å; angles 90.00, 90.00, 155.44 degrees
Closest atoms and distances in Å follow each position.
Sites, in units of the cell vectors:
Na: 0.1530 0.8470 0.7500  8 H 2.36-2.50
Na: 0.8470 0.1530 0.2500  8 H 2.36-2.50
H: 0.0000 0.0000 0.0000  4 Rh 2.07
H: 0.0000 0.0000 0.5000  4 Rh 2.07
H: 0.0585 0.4005 0.7500  1 H 1.33
H: 0.4005 0.0585 0.2500  1 H 1.33
H: 0.5995 0.9415 0.7500  1 H 1.33
H: 0.9415 0.5995 0.2500  1 H 1.33
Rh: 0.4355 0.5645 0.7500  2 H 1.62
Rh: 0.5645 0.4355 0.2500  2 H 1.62


Arrangement 4

NaH3Rh | GGA-PBE | optimized geometry

Properties
- calculated density (Mg/m³) = 4.479

Cell lengths 6.4663, 6.4663, 6.4663 Å; angles 60.00, 60.00, 60.00 degrees
Closest atoms and distances in Å follow each position.
Sites, in units of the cell vectors:
Na: 0.0000 0.0000 0.0000  6 H 2.28
Na: 0.0000 0.0000 0.5000  6 H 2.28
Na: 0.0000 0.5000 0.0000  6 H 2.28
Na: 0.5000 0.0000 0.0000  6 H 2.28
H: 0.1762 0.1762 0.5738  2 Rh 1.75
H: 0.1762 0.5738 0.1762  2 Rh 1.75
H: 0.1762 0.5738 0.5738  2 Rh 1.75
H: 0.4262 0.4262 0.8238  2 Rh 1.75
H: 0.4262 0.8238 0.4262  2 Rh 1.75
H: 0.4262 0.8238 0.8238  2 Rh 1.75
H: 0.5738 0.1762 0.1762  2 Rh 1.75
H: 0.5738 0.1762 0.5738  2 Rh 1.75
H: 0.5738 0.5738 0.1762  2 Rh 1.75
H: 0.8238 0.4262 0.4262  2 Rh 1.75
H: 0.8238 0.4262 0.8238  2 Rh 1.75
H: 0.8238 0.8238 0.4262  2 Rh 1.75
Rh: 0.0000 0.5000 0.5000  6 H 1.75
Rh: 0.5000 0.0000 0.5000  6 H 1.75
Rh: 0.5000 0.5000 0.0000  6 H 1.75
Rh: 0.5000 0.5000 0.5000  6 H 1.75


Order from most stable to least stable according to the calculation: arrangement 1, arrangement 4, arrangement 2, arrangement 3


Arrangement 1

Na4H5Rh | GGA-PBE | optimized geometry

Properties
- calculated density (Mg/m³) = 2.121

Cell lengths 5.8817, 5.8817, 5.8817 Å; angles 110.45, 110.45, 107.53 degrees
Closest atoms and distances in Å follow each position.
Sites, in units of the cell vectors:
Na: 0.2455 0.2485 0.4940  5 H 2.37-2.46
Na: 0.2485 0.7545 0.0030  5 H 2.37-2.46
Na: 0.7515 0.2455 0.9970  5 H 2.37-2.46
Na: 0.7545 0.7515 0.5060  5 H 2.37-2.46
H: 0.2448 0.4975 0.2522  1 Rh 1.70
H: 0.2453 0.9926 0.7478  1 Rh 1.70
H: 0.4975 0.2453 0.2527  1 Rh 1.70
H: 0.5170 0.5170 0.0000  1 Rh 1.76
H: 0.9926 0.2448 0.7473  1 Rh 1.70
Rh: 0.2632 0.2632 0.0000  5 H 1.70-1.76


Arrangement 2

Na4H5Rh | GGA-PBE | optimized geometry

Properties
- calculated density (Mg/m³) = 2.633

Cell lengths 5.6100, 5.6100, 5.6100 Å; angles 101.44, 101.44, 127.10 degrees
Closest atoms and distances in Å follow each position.
Sites, in units of the cell vectors:
Na: 0.1113 0.2798 0.3911  4 H 2.27-2.47
Na: 0.2798 0.8887 0.1684  4 H 2.27-2.47
Na: 0.7202 0.1113 0.8316  4 H 2.27-2.47
Na: 0.8887 0.7202 0.6089  4 H 2.27-2.47
H: 0.2491 0.5442 0.8251  1 Rh 1.73
H: 0.4240 0.2491 0.7049  1 Rh 1.73
H: 0.5442 0.7190 0.2951  1 Rh 1.73
H: 0.7190 0.4240 0.1749  1 Rh 1.73
H: 0.8490 0.8490 0.0000  1 Rh 1.70
Rh: 0.5096 0.5096 0.0000  5 H 1.70-1.73


Order from most stable to least stable according to the calculation: arrangement 1, arrangement 2


Arrangement 1

Na2H5Rh | GGA-PBE | optimized geometry

Properties
- calculated density (Mg/m³) = 3.162

Cell lengths 6.5159, 4.9537, 10.0189 Å; angles 90.00, 90.00, 90.00 degrees
Closest atoms and distances in Å follow each position.
Sites, in units of the cell vectors:
Na: 0.0144 0.2500 0.2121  10 H 2.35-2.57
Na: 0.1654 0.7500 0.4203  7 H 2.32-2.56
Na: 0.3346 0.2500 0.9203  7 H 2.32-2.56
Na: 0.4856 0.7500 0.7121  10 H 2.35-2.57
Na: 0.5144 0.2500 0.2879  10 H 2.35-2.57
Na: 0.6654 0.7500 0.0797  7 H 2.32-2.56
Na: 0.8346 0.2500 0.5797  7 H 2.32-2.56
Na: 0.9856 0.7500 0.7879  10 H 2.35-2.57
H: 0.0000 0.0000 0.0000  2 Rh 1.75
H: 0.0000 0.5000 0.0000  2 Rh 1.75
H: 0.0438 0.7500 0.2026  1 Rh 1.64
H: 0.1825 0.0261 0.6224  1 Rh 1.61
H: 0.1825 0.4739 0.6224  1 Rh 1.61
H: 0.1920 0.2500 0.4161  1 Rh 1.71
H: 0.3080 0.7500 0.9161  1 Rh 1.71
H: 0.3175 0.5261 0.1224  1 Rh 1.61
H: 0.3175 0.9739 0.1224  1 Rh 1.61
H: 0.4562 0.2500 0.7026  1 Rh 1.64
H: 0.5000 0.0000 0.5000  2 Rh 1.75
H: 0.5000 0.5000 0.5000  2 Rh 1.75
H: 0.5438 0.7500 0.2974  1 Rh 1.64
H: 0.6825 0.0261 0.8776  1 Rh 1.61
H: 0.6825 0.4739 0.8776  1 Rh 1.61
H: 0.6920 0.2500 0.0839  1 Rh 1.71
H: 0.8080 0.7500 0.5839  1 Rh 1.71
H: 0.8175 0.5261 0.3776  1 Rh 1.61
H: 0.8175 0.9739 0.3776  1 Rh 1.61
H: 0.9562 0.2500 0.7974  1 Rh 1.64
Rh: 0.1660 0.7500 0.0598  6 H 1.61-1.75
Rh: 0.3340 0.2500 0.5598  6 H 1.61-1.75
Rh: 0.6660 0.7500 0.4402  6 H 1.61-1.75
Rh: 0.8340 0.2500 0.9402  6 H 1.61-1.75


Arrangement 2

Na2H5Rh | GGA-PBE | optimized geometry

Properties
- calculated density (Mg/m³) = 2.818

Cell lengths 5.8601, 5.8601, 9.6130 Å; angles 90.00, 90.00, 146.67 degrees
Closest atoms and distances in Å follow each position.
Sites, in units of the cell vectors:
Na: 0.1360 0.8640 0.5776  5 H 2.11-2.34
Na: 0.1360 0.8640 0.9224  5 H 2.11-2.34
Na: 0.8640 0.1360 0.0776  5 H 2.11-2.34
Na: 0.8640 0.1360 0.4224  5 H 2.11-2.34
H: 0.0468 0.9532 0.1299  1 Rh 1.65
H: 0.0468 0.9532 0.3701  1 Rh 1.65
H: 0.2534 0.7466 0.1234  1 Rh 1.66
H: 0.2534 0.7466 0.3766  1 Rh 1.66
H: 0.3111 0.6889 0.7500  2 Rh 1.73
H: 0.6889 0.3111 0.2500  2 Rh 1.73
H: 0.7466 0.2534 0.6234  1 Rh 1.66
H: 0.7466 0.2534 0.8766  1 Rh 1.66
H: 0.9532 0.0468 0.6299  1 Rh 1.65
H: 0.9532 0.0468 0.8701  1 Rh 1.65
Rh: 0.1522 0.8478 0.2500  6 H 1.65-1.73
Rh: 0.8478 0.1522 0.7500  6 H 1.65-1.73


Order from most stable to least stable according to the calculation: arrangement 1, arrangement 2


Arrangement 1

NaHRh | GGA-PBE | optimized geometry

Properties
- calculated density (Mg/m³) = 5.724

Cell lengths 3.9316, 3.9316, 4.7629 Å; angles 90.00, 90.00, 90.00 degrees
Closest atoms and distances in Å follow each position.
Sites, in units of the cell vectors:
Na: 0.2500 0.2500 0.9996  2 H 2.38
Na: 0.7500 0.7500 0.0004  2 H 2.38
H: 0.2500 0.2500 0.4993  4 Rh 1.97
H: 0.7500 0.7500 0.5007  4 Rh 1.97
Rh: 0.2500 0.7500 0.5000  4 H 1.97
Rh: 0.7500 0.2500 0.5000  4 H 1.97


Arrangement 2

NaHRh | GGA-PBE | optimized geometry

Properties
- calculated density (Mg/m³) = 5.709

Cell lengths 2.9466, 2.9466, 4.9089 Å; angles 90.00, 90.00, 120.00 degrees
Closest atoms and distances in Å follow each position.
Sites, in units of the cell vectors:
Na: 0.0000 0.0000 0.0000  3 H 2.54
H: 0.6667 0.3333 0.3837  3 Rh 1.80
Rh: 0.3333 0.6667 0.5043  3 H 1.80


Order from most stable to least stable according to the calculation: arrangement 2, arrangement 1